Version P
! Pm4NiSn | the Alexandria database | PBE | optimized geometry; values from VASP
&SYSTEM
  ibrav = 0, nat = 12, ntyp = 3
/
ATOMIC_SPECIES
Pm 145.00 Pm.upf
Ni 58.69 Ni.upf
Sn 118.71 Sn.upf
CELL_PARAMETERS angstrom
-5.8753 1.0197 -0.6416
0.7295 -8.0254 2.2824
2.1581 5.4057 6.0030
ATOMIC_POSITIONS crystal
Pm 0.6461 0.0708 0.3728
Pm 0.6897 0.3445 0.1420
Pm 0.3103 0.6555 0.8580
Pm 0.0476 0.2025 0.8580
Pm 0.7733 0.6979 0.6272
Pm 0.3539 0.9292 0.6272
Pm 0.2267 0.3021 0.3728
Pm 0.9524 0.7975 0.1420
Ni 0.7500 0.0000 0.9999
Ni 0.2500 0.0000 0.0001
Sn 0.3700 0.6200 0.2401
Sn 0.6300 0.3800 0.7599
! - space-group type = C2/c
! - magnetization (μB per atom) = 0.0000

Version Q
! Pm4NiSn | the Alexandria database | PBE | optimized geometry; values from VASP
&SYSTEM
  ibrav = 0, nat = 12, ntyp = 3
/
ATOMIC_SPECIES
Pm 145.00 Pm.upf
Ni 58.69 Ni.upf
Sn 118.71 Sn.upf
CELL_PARAMETERS angstrom
5.3351 0.0000 -2.2666
0.0000 6.9899 0.0000
-0.4421 0.0000 9.3609
ATOMIC_POSITIONS crystal
Pm 0.6689 0.2500 0.8744
Pm 0.3311 0.7500 0.1256
Pm 0.0787 0.9930 0.7246
Pm 0.9213 0.4930 0.2754
Pm 0.0787 0.5070 0.7246
Pm 0.5649 0.2500 0.4467
Pm 0.9213 0.0070 0.2754
Pm 0.4351 0.7500 0.5533
Ni 0.2034 0.2500 0.5512
Ni 0.7966 0.7500 0.4488
Sn 0.3025 0.2500 0.0712
Sn 0.6975 0.7500 0.9288
! - space-group type = P2_1/m
! - magnetization (μB per atom) = 0.0000

Relative energies, in meV per atom, with the most stable structure set to zero: version P 26; version Q 0.